Record 1
Below is a relaxed TeP4Pb crystal, with properties calculated at the GGA-PBE level.

Geometry as POSCAR:
```
TeP4Pb
1.0
1.289 -5.545 -1.978
-4.453 -3.804 -1.421
-0.999 -1.452 -5.763
Pb P Te
1 4 1
direct
0.750 0.750 0.750
0.342 0.974 0.342
0.974 0.342 0.342
0.342 0.342 0.974
0.342 0.342 0.342
0.000 0.000 0.000
```

Properties
Fermi-level density of states: 2.023 states/eV/f.u.
SG: No. 216
raw formation energy: 28.2 kJ/mol of atoms

***

Record 2
Below is a relaxed LiTcI2O crystal, with properties calculated at the GGA-PBE level.

Geometry as POSCAR:
```
LiTcI2O
1.0
5.454 0.000 0.000
0.000 5.454 0.000
0.000 0.000 3.672
I Li Tc O
2 1 1 1
direct
0.500 0.000 0.000
0.000 0.500 0.000
0.000 0.000 0.000
0.500 0.500 0.500
0.000 0.000 0.500
```

Properties
Fermi-level density of states: 4.946 states/eV/f.u.
SG: No. 123
relative energy among the computed polymorphs: 972 meV per atom
raw formation energy: 39.0 kJ/mol of atoms

***

Record 3
Below is a relaxed RuRhPb2O6 crystal, with properties calculated at the GGA-PBE level.

Geometry as POSCAR:
```
RuRhPb2O6
1.0
-3.156 -1.090 -2.429
-1.634 -3.826 3.840
-3.265 3.896 2.492
Pb Rh O Ru
2 1 6 1
direct
0.068 0.000 0.500
0.068 0.500 0.000
0.631 0.500 0.500
0.147 0.500 0.500
0.689 0.755 0.245
0.689 0.245 0.245
0.689 0.245 0.755
0.159 0.000 0.000
0.689 0.755 0.755
0.618 0.000 0.000
```

Properties
Fermi-level density of states: 6.338 states/eV/f.u.
SG: No. 99
raw formation energy: -78.9 kJ/mol of atoms

***

Record 4
Below is a relaxed PrEr2Pd crystal, with properties calculated at the GGA-PBE level.

Geometry as POSCAR:
```
PrEr2Pd
1.0
3.714 0.000 0.000
1.857 3.216 0.000
1.857 1.072 9.734
Er Pd Pr
2 1 1
direct
0.730 0.730 0.810
0.270 0.270 0.190
0.000 0.000 0.000
0.500 0.500 0.500
```

Properties
Fermi-level density of states: 4.287 states/eV/f.u.
energy of formation: -0.315 eV/atom
SG: No. 166
relative energy among the computed polymorphs: 144 meV per atom

***

Record 5
Below is a relaxed Zn2Cd2Ga3 crystal, with properties calculated at the GGA-PBE level.

Geometry as POSCAR:
```
Zn2Cd2Ga3
1.0
4.236 0.000 0.000
-2.118 5.067 -0.227
0.000 -2.622 6.528
Ga Zn Cd
3 2 2
direct
0.386 0.772 0.552
0.500 0.000 0.000
0.614 0.228 0.448
0.858 0.717 0.780
0.142 0.283 0.220
0.844 0.689 0.195
0.156 0.311 0.805
```

Properties
Fermi-level density of states: 2.101 states/eV/f.u.
energy of formation: 0.068 eV/atom
SG: No. 12

***

Record 6
Below is a relaxed Ba2AsRh crystal, with properties calculated at the GGA-PBE level.

Geometry as POSCAR:
```
Ba2AsRh
1.0
-3.457 -0.572 -2.435
2.242 -1.547 -2.819
1.340 -7.922 -0.040
As Rh Ba
1 1 2
direct
0.500 0.750 0.750
0.500 0.250 0.250
0.000 0.999 0.000
0.000 0.501 0.500
```

Properties
Fermi-level density of states: 3.279 states/eV/f.u.
energy of formation: -0.325 eV/atom
SG: No. 47

***

Question: Which value of Fermi-level density of states does entry 5 give?
Answer: 2.101 states/eV/f.u.